Record 1
A plane-wave DFT calculation with PBE was carried out for an optimized crystal structure of CaTl2GaTe.

The electronic total energy comes out at -2.66 eV/atom. Its density of states at the Fermi level is 0.71 states/eV per atom. The volume comes out at 33.8 Å³/atom.

The structure belongs to space group P4/mmm (No. 123); the cell edges are 5.3590, 5.3590 and 5.8832 Å and the angles 90.00°, 90.00° and 90.00°. The inequivalent atoms are Ca at (0.0000, 0.0000, 0.0000), Tl at (0.0000, 0.5000, 0.5000), Ga at (0.5000, 0.5000, 0.5000) and Te at (0.5000, 0.5000, 0.0000).

=====

Record 2
A plane-wave DFT calculation with PBE was carried out for an optimized crystal structure of CaTlGaTe3.

The electronic total energy comes out at -3.50 eV/atom. Its density of states at the Fermi level is 0.05 states/eV per atom. The volume comes out at 35.5 Å³/atom.

The structure belongs to space group P2_1/m (No. 11); the cell edges are 8.9863, 4.4134 and 11.0788 Å and the angles 90.00°, 104.08° and 90.00°. The inequivalent atoms are Ca at (0.1873, 0.2500, 0.1091), Tl at (0.2284, 0.7500, 0.7203), Ga at (0.4297, 0.7500, 0.3722), Te at (0.0287, 0.2500, 0.8258), Te at (0.2936, 0.2500, 0.4520) and Te at (0.4536, 0.7500, 0.1448).

=====

Record 3
A plane-wave DFT calculation with PBE was carried out for an optimized crystal structure of Ca2TmGaTe5.

The electronic total energy comes out at -4.18 eV/atom. The volume comes out at 31.4 Å³/atom.

The structure belongs to space group Cmc2_1 (No. 36); the cell edges are 4.2716, 19.6782 and 13.4685 Å and the angles 90.00°, 90.00° and 90.00°. The inequivalent atoms are Ca at (0.0000, 0.1195, 0.0000), Ca at (0.0000, 0.1245, 0.6448), Tm at (0.0000, 0.2043, 0.3464), Ga at (0.0000, 0.4403, 0.7587), Te at (0.0000, 0.0446, 0.3769), Te at (0.0000, 0.2913, 0.0031), Te at (0.0000, 0.3133, 0.6826), Te at (0.0000, 0.3563, 0.3260) and Te at (0.0000, 0.4973, 0.0894).

=====

Record 4
A plane-wave DFT calculation with PBE was carried out for an optimized crystal structure of Ca2YGaTe5.

The electronic total energy comes out at -4.41 eV/atom. The volume comes out at 31.7 Å³/atom.

The structure belongs to space group Cmc2_1 (No. 36); the cell edges are 4.2872, 19.7884 and 13.4660 Å and the angles 90.00°, 90.00° and 90.00°. The inequivalent atoms are Ca at (0.0000, 0.1192, 0.0000), Ca at (0.0000, 0.1234, 0.6455), Y at (0.0000, 0.2040, 0.3462), Ga at (0.0000, 0.4406, 0.7585), Te at (0.0000, 0.0436, 0.3764), Te at (0.0000, 0.2921, 0.0056), Te at (0.0000, 0.3147, 0.6800), Te at (0.0000, 0.3571, 0.3263) and Te at (0.0000, 0.4970, 0.0892).

=====

Record 5
A plane-wave DFT calculation with PBE was carried out for an optimized crystal structure of Ca2ThGa4.

The electronic total energy comes out at -3.90 eV/atom. Its density of states at the Fermi level is 0.37 states/eV per atom. The volume comes out at 24.6 Å³/atom.

The structure belongs to space group Immm (No. 71); the cell edges are 4.2483, 4.2959 and 18.8779 Å and the angles 90.00°, 90.00° and 90.00°. The inequivalent atoms are Ca at (0.0000, 0.0000, 0.1858), Th at (0.0000, 0.5000, 0.5000), Ga at (0.0000, 0.0000, 0.3606) and Ga at (0.0000, 0.5000, 0.0656).

=====

Record 6
A plane-wave DFT calculation with PBE was carried out for an optimized crystal structure of CaTh2Ga6.

The electronic total energy comes out at -4.46 eV/atom. Its density of states at the Fermi level is 0.54 states/eV per atom. The volume comes out at 22.6 Å³/atom.

The structure belongs to space group P6/mmm (No. 191); the cell edges are 7.4086, 7.4086 and 4.2748 Å and the angles 90.00°, 90.00° and 120.00°. The inequivalent atoms are Ca at (0.0000, 0.0000, 0.0000), Th at (0.3333, 0.6667, 0.0000) and Ga at (0.0000, 0.3343, 0.5000).

=====

Record 7
A plane-wave DFT calculation with PBE was carried out for an optimized crystal structure of CaThGa.

The electronic total energy comes out at -4.20 eV/atom. Its density of states at the Fermi level is 1.26 states/eV per atom. The volume comes out at 29.9 Å³/atom.

The structure belongs to space group Amm2 (No. 38); the cell edges are 16.1244, 3.6043 and 6.1655 Å and the angles 90.00°, 90.00° and 90.00°. The inequivalent atoms are Ca at (0.1461, 0.0000, 0.0000), Th at (0.3515, 0.0000, 0.6612), Ga at (0.0000, 0.0000, 0.6634) and Ga at (0.5000, 0.0000, 0.9979).

=====

Record 8
A plane-wave DFT calculation with PBE was carried out for an optimized crystal structure of CaThGa.

The electronic total energy comes out at -4.34 eV/atom. Its density of states at the Fermi level is 1.31 states/eV per atom. The volume comes out at 29.0 Å³/atom.

The structure belongs to space group I4mm (No. 107); the cell edges are 3.5181, 3.5181 and 14.0445 Å and the angles 90.00°, 90.00° and 90.00°. The inequivalent atoms are Ca at (0.0000, 0.0000, 0.0000), Th at (0.0000, 0.0000, 0.2806) and Ga at (0.0000, 0.0000, 0.6408).

=====

Record 9
A plane-wave DFT calculation with PBE was carried out for an optimized crystal structure of Ca2ThGa6.

The electronic total energy comes out at -3.80 eV/atom. Its density of states at the Fermi level is 0.48 states/eV per atom. The volume comes out at 22.9 Å³/atom.

The structure belongs to space group P6/mmm (No. 191); the cell edges are 7.4245, 7.4245 and 4.3125 Å and the angles 90.00°, 90.00° and 120.00°. The inequivalent atoms are Ca at (0.3333, 0.6667, 0.0000), Th at (0.0000, 0.0000, 0.0000) and Ga at (0.0000, 0.3322, 0.5000).

=====

Record 10
A plane-wave DFT calculation with PBE was carried out for an optimized crystal structure of CaThGa4.

The electronic total energy comes out at -3.99 eV/atom. Its density of states at the Fermi level is 0.66 states/eV per atom. The volume comes out at 21.0 Å³/atom.

The structure belongs to space group F-43m (No. 216); the cell edges are 7.9632, 7.9632 and 7.9632 Å and the angles 90.00°, 90.00° and 90.00°. The inequivalent atoms are Ca at (0.0000, 0.0000, 0.0000), Th at (0.2500, 0.2500, 0.7500) and Ga at (0.1246, 0.1246, 0.3754).

=====

Record 11
A plane-wave DFT calculation with PBE was carried out for an optimized crystal structure of CaThGa4.

The electronic total energy comes out at -4.12 eV/atom. Its density of states at the Fermi level is 0.57 states/eV per atom. The volume comes out at 22.7 Å³/atom.

The structure belongs to space group I-4m2 (No. 119); the cell edges are 4.2641, 4.2641 and 14.9868 Å and the angles 90.00°, 90.00° and 90.00°. The inequivalent atoms are Ca at (0.0000, 0.0000, 0.0000), Th at (0.0000, 0.5000, 0.2500), Ga at (0.0000, 0.0000, 0.4171) and Ga at (0.0000, 0.5000, 0.6675).

=====

Record 12
A plane-wave DFT calculation with PBE was carried out for an optimized crystal structure of CaThZn2Ga2.

The electronic total energy comes out at -3.47 eV/atom. Its density of states at the Fermi level is 0.35 states/eV per atom. The volume comes out at 22.1 Å³/atom.

The structure belongs to space group P-3m1 (No. 164); the cell edges are 4.4463, 4.4463 and 7.7472 Å and the angles 90.00°, 90.00° and 120.00°. The inequivalent atoms are Ca at (0.0000, 0.0000, 0.0000), Th at (0.0000, 0.0000, 0.5000), Zn at (0.3333, 0.6667, 0.2528) and Ga at (0.3333, 0.6667, 0.7389).